YHo6Co2 | PBE-GGA | optimized geometry

Structure (CIF):
```
data_YHo6Co2
_chemical_formula_sum 'Y4 Ho24 Co8'
_space_group_name_H-M_alt 'I m m m'
_space_group_IT_number 71
_space_group_name_Hall '-I 2 2'
_cell_length_a 9.4481
_cell_length_b 9.8852
_cell_length_c 10.0109
_cell_angle_alpha 90.00
_cell_angle_beta 90.00
_cell_angle_gamma 90.00
loop_
_atom_site_label
_atom_site_fract_x
_atom_site_fract_y
_atom_site_fract_z
Y1 0.0000 0.0000 0.0000
Y2 0.0000 0.0000 0.5000
Ho1 0.0000 0.2157 0.2416
Ho2 0.1843 0.5000 0.1820
Ho3 0.2125 0.3143 0.5000
Co1 0.0000 0.3055 0.0000
Co2 0.0000 0.5000 0.3865
```

For the theoretical density, the calculation gives 8.5 g cm⁻³. For the formation energy, the calculation gives -0.071 eV/atom.

***

YHo2Co2 | PBE-GGA | optimized geometry

Structure (CIF):
```
data_YHo2Co2
_chemical_formula_sum 'Y4 Ho8 Co8'
_space_group_name_H-M_alt 'C 1 2/c 1'
_space_group_IT_number 15
_cell_length_a 10.9479
_cell_length_b 5.7406
_cell_length_c 7.2726
_cell_angle_alpha 90.00
_cell_angle_beta 101.90
_cell_angle_gamma 90.00
loop_
_space_group_symop_operation_xyz
'x,y,z'
'-x,-y,-z'
'-x,y,-z+1/2'
'x,-y,z+1/2'
'x+1/2,y+1/2,z'
'-x+1/2,-y+1/2,-z'
'-x+1/2,y+1/2,-z+1/2'
'x+1/2,-y+1/2,z+1/2'
loop_
_atom_site_label
_atom_site_fract_x
_atom_site_fract_y
_atom_site_fract_z
Y1 0.0000 0.0900 0.2500
Ho1 0.1619 0.3846 0.6516
Co1 0.1686 0.1386 0.0147
```

The polymorph energy (0 for the lowest one) comes out at 0.000 eV/f.u. For the theoretical density, the calculation gives 8.0 g cm⁻³. For the formation energy, the calculation gives -0.166 eV/atom.

***

YHo6Co3 | PBE-GGA | optimized geometry

Structure (CIF):
```
data_YHo6Co3
_chemical_formula_sum 'Y4 Ho24 Co12'
_space_group_name_H-M_alt 'C m c 21'
_space_group_IT_number 36
_cell_length_a 11.4193
_cell_length_b 12.1264
_cell_length_c 7.1889
_cell_angle_alpha 90.00
_cell_angle_beta 90.00
_cell_angle_gamma 90.00
loop_
_space_group_symop_operation_xyz
'x,y,z'
'-x,-y,z+1/2'
'-x,y,z'
'x,-y,z+1/2'
'x+1/2,y+1/2,z'
'-x+1/2,-y+1/2,z+1/2'
'-x+1/2,y+1/2,z'
'x+1/2,-y+1/2,z+1/2'
loop_
_atom_site_label
_atom_site_fract_x
_atom_site_fract_y
_atom_site_fract_z
Y1 0.0000 0.1892 0.0000
Ho1 0.0000 0.1684 0.4994
Ho2 0.0000 0.4964 0.7490
Ho3 0.2139 0.9997 0.4989
Ho4 0.2504 0.2499 0.2481
Co1 0.0000 0.9997 0.2494
Co2 0.1102 0.3607 0.4956
```

For the theoretical density, the calculation gives 8.4 g cm⁻³. For the formation energy, the calculation gives -0.064 eV/atom.

***

YHo3Co | PBE-GGA | optimized geometry

Structure (CIF):
```
data_YHo3Co
_chemical_formula_sum 'Y1 Ho3 Co1'
_space_group_name_H-M_alt 'P m -3 m'
_space_group_IT_number 221
_space_group_name_Hall '-P 4 2 3'
_cell_length_a 5.2508
_cell_length_b 5.2508
_cell_length_c 5.2508
_cell_angle_alpha 90.00
_cell_angle_beta 90.00
_cell_angle_gamma 90.00
loop_
_atom_site_label
_atom_site_fract_x
_atom_site_fract_y
_atom_site_fract_z
Y1 0.0000 0.0000 0.0000
Ho1 0.0000 0.5000 0.5000
Co1 0.5000 0.5000 0.5000
```

The polymorph energy (0 for the lowest one) comes out at 0.468 eV/f.u. For the theoretical density, the calculation gives 7.4 g cm⁻³. For the formation energy, the calculation gives -0.016 eV/atom.

***

Y3Ho3Co4 | PBE-GGA | optimized geometry

Structure (CIF):
```
data_Y3Ho3Co4
_chemical_formula_sum 'Y6 Ho6 Co8'
_space_group_name_H-M_alt 'A m m 2'
_space_group_IT_number 38
_cell_length_a 4.1965
_cell_length_b 10.1432
_cell_length_c 10.1313
_cell_angle_alpha 90.00
_cell_angle_beta 90.00
_cell_angle_gamma 90.00
loop_
_space_group_symop_operation_xyz
'x,y,z'
'-x,-y,z'
'-x,y,z'
'x,-y,z'
'x,y+1/2,z+1/2'
'-x,-y+1/2,z+1/2'
'-x,y+1/2,z+1/2'
'x,-y+1/2,z+1/2'
loop_
_atom_site_label
_atom_site_fract_x
_atom_site_fract_y
_atom_site_fract_z
Y1 0.0000 0.0000 0.0000
Y2 0.0000 0.1735 0.6728
Ho1 0.0000 0.0000 0.3463
Ho2 0.5000 0.2497 0.4227
Co1 0.5000 0.0000 0.5594
Co2 0.5000 0.0000 0.7826
Co3 0.5000 0.1109 0.1754
```

For the theoretical density, the calculation gives 7.7 g cm⁻³. For the formation energy, the calculation gives -0.151 eV/atom.

***

YHo3Co | PBE-GGA | optimized geometry

Structure (CIF):
```
data_YHo3Co
_chemical_formula_sum 'Y4 Ho12 Co4'
_space_group_name_H-M_alt 'C 1 2/m 1'
_space_group_IT_number 12
_cell_length_a 11.5939
_cell_length_b 8.2277
_cell_length_c 8.0928
_cell_angle_alpha 90.00
_cell_angle_beta 134.23
_cell_angle_gamma 90.00
loop_
_space_group_symop_operation_xyz
'x,y,z'
'-x,-y,-z'
'-x,y,-z'
'x,-y,z'
'x+1/2,y+1/2,z'
'-x+1/2,-y+1/2,-z'
'-x+1/2,y+1/2,-z'
'x+1/2,-y+1/2,z'
loop_
_atom_site_label
_atom_site_fract_x
_atom_site_fract_y
_atom_site_fract_z
Y1 0.0485 0.0000 0.2563
Ho1 0.0471 0.5000 0.3412
Ho2 0.2489 0.2974 0.2045
Co1 0.2483 0.5000 0.8756
```

The polymorph energy (0 for the lowest one) comes out at 0.000 eV/f.u. For the theoretical density, the calculation gives 7.7 g cm⁻³. For the formation energy, the calculation gives -0.110 eV/atom.